# 1
# Ag3SbBr (GGA-PBE, optimized geometry)
data_Ag3SbBr
_cell_length_a 5.187
_cell_length_b 5.187
_cell_length_c 5.187
_cell_angle_alpha 90.00
_cell_angle_beta 90.00
_cell_angle_gamma 90.00
_symmetry_space_group_name_H-M 'P 1'
_symmetry_Int_Tables_number 1
loop_
_symmetry_equiv_pos_as_xyz
'x,y,z'
loop_
_atom_site_label
_atom_site_type_symbol
_atom_site_fract_x
_atom_site_fract_y
_atom_site_fract_z
_atom_site_occupancy
Ag1 Ag 0.000 0.000 0.500 1
Ag2 Ag 0.000 0.500 0.000 1
Ag3 Ag 0.500 0.000 0.000 1
Sb1 Sb 0.500 0.500 0.500 1
Br1 Br 0.000 0.000 0.000 1
# * ΔE to the lowest computed polymorph: 309 meV per atom

# 2
The following is a DFT calculation (GGA-PBE) of Tb6TlHg2Te3 after structural relaxation.

```
data_Tb6TlHg2Te3
_cell_length_a 10.073
_cell_length_b 10.073
_cell_length_c 9.228
_cell_angle_alpha 109.84
_cell_angle_beta 109.84
_cell_angle_gamma 23.77
_symmetry_space_group_name_H-M 'P 1'
_symmetry_Int_Tables_number 1
loop_
_symmetry_equiv_pos_as_xyz
'x,y,z'
loop_
_atom_site_label
_atom_site_type_symbol
_atom_site_fract_x
_atom_site_fract_y
_atom_site_fract_z
_atom_site_occupancy
Tb1 Tb 0.005 0.005 0.254 1
Tb2 Tb 0.331 0.331 0.898 1
Tb3 Tb 0.336 0.336 0.402 1
Tb4 Tb 0.664 0.664 0.598 1
Tb5 Tb 0.669 0.669 0.102 1
Tb6 Tb 0.995 0.995 0.746 1
Tl1 Tl 0.500 0.500 0.000 1
Hg1 Hg 0.175 0.175 0.360 1
Hg2 Hg 0.825 0.825 0.640 1
Te1 Te 0.164 0.164 0.847 1
Te2 Te 0.500 0.500 0.500 1
Te3 Te 0.836 0.836 0.153 1
```

# 3
# AlZnRu2 (GGA-PBE, optimized geometry)
data_AlZnRu2
_cell_length_a 2.821
_cell_length_b 4.703
_cell_length_c 8.832
_cell_angle_alpha 90.00
_cell_angle_beta 90.00
_cell_angle_gamma 90.00
_symmetry_space_group_name_H-M 'P 1'
_symmetry_Int_Tables_number 1
loop_
_symmetry_equiv_pos_as_xyz
'x,y,z'
loop_
_atom_site_label
_atom_site_type_symbol
_atom_site_fract_x
_atom_site_fract_y
_atom_site_fract_z
_atom_site_occupancy
Al1 Al 0.000 0.000 0.000 1
Al2 Al 0.500 0.500 0.000 1
Zn1 Zn 0.000 0.500 0.736 1
Zn2 Zn 0.500 0.000 0.736 1
Ru1 Ru 0.000 0.000 0.486 1
Ru2 Ru 0.000 0.500 0.235 1
Ru3 Ru 0.500 0.000 0.235 1
Ru4 Ru 0.500 0.500 0.486 1
# * formation energy: 0.575 eV per formula unit

# 4
# KIn2GaNi (GGA-PBE, optimized geometry)
data_KIn2GaNi
_cell_length_a 5.104
_cell_length_b 5.104
_cell_length_c 4.786
_cell_angle_alpha 90.00
_cell_angle_beta 90.00
_cell_angle_gamma 90.00
_symmetry_space_group_name_H-M 'P 1'
_symmetry_Int_Tables_number 1
loop_
_symmetry_equiv_pos_as_xyz
'x,y,z'
loop_
_atom_site_label
_atom_site_type_symbol
_atom_site_fract_x
_atom_site_fract_y
_atom_site_fract_z
_atom_site_occupancy
K1 K 0.000 0.000 0.000 1
In1 In 0.000 0.500 0.500 1
In2 In 0.500 0.000 0.500 1
Ga1 Ga 0.500 0.500 0.000 1
Ni1 Ni 0.500 0.500 0.500 1
# * formation energy: -0.407 eV per formula unit

# 5
# LiBN (GGA-PBE, optimized geometry)
data_LiBN
_cell_length_a 2.598
_cell_length_b 2.598
_cell_length_c 4.139
_cell_angle_alpha 90.00
_cell_angle_beta 90.00
_cell_angle_gamma 120.00
_symmetry_space_group_name_H-M 'P 1'
_symmetry_Int_Tables_number 1
loop_
_symmetry_equiv_pos_as_xyz
'x,y,z'
loop_
_atom_site_label
_atom_site_type_symbol
_atom_site_fract_x
_atom_site_fract_y
_atom_site_fract_z
_atom_site_occupancy
Li1 Li 0.000 0.000 0.000 1
B1 B 0.667 0.333 0.506 1
N1 N 0.333 0.667 0.578 1
# * ΔE to the lowest computed polymorph: 231 meV per atom

# 6
# NdPaCo2 (GGA-PBE, optimized geometry)
data_NdPaCo2
_cell_length_a 5.438
_cell_length_b 4.233
_cell_length_c 7.242
_cell_angle_alpha 90.00
_cell_angle_beta 108.50
_cell_angle_gamma 90.00
_symmetry_space_group_name_H-M 'P 1'
_symmetry_Int_Tables_number 1
loop_
_symmetry_equiv_pos_as_xyz
'x,y,z'
loop_
_atom_site_label
_atom_site_type_symbol
_atom_site_fract_x
_atom_site_fract_y
_atom_site_fract_z
_atom_site_occupancy
Nd1 Nd 0.238 0.250 0.434 1
Nd2 Nd 0.762 0.750 0.566 1
Pa1 Pa 0.220 0.250 0.931 1
Pa2 Pa 0.780 0.750 0.069 1
Co1 Co 0.308 0.750 0.146 1
Co2 Co 0.329 0.750 0.770 1
Co3 Co 0.671 0.250 0.230 1
Co4 Co 0.692 0.250 0.854 1
# * formation energy: -1.266 eV per formula unit

# 7
The following is a DFT calculation (GGA-PBE) of Rb2BOsI6 after structural relaxation.

```
data_Rb2BOsI6
_cell_length_a 8.030
_cell_length_b 8.030
_cell_length_c 8.030
_cell_angle_alpha 112.75
_cell_angle_beta 112.75
_cell_angle_gamma 103.10
_symmetry_space_group_name_H-M 'P 1'
_symmetry_Int_Tables_number 1
loop_
_symmetry_equiv_pos_as_xyz
'x,y,z'
loop_
_atom_site_label
_atom_site_type_symbol
_atom_site_fract_x
_atom_site_fract_y
_atom_site_fract_z
_atom_site_occupancy
Rb1 Rb 0.250 0.750 0.500 1
Rb2 Rb 0.750 0.250 0.500 1
B1 B 0.000 0.000 0.000 1
Os1 Os 0.500 0.500 0.000 1
I1 I 0.219 0.219 0.000 1
I2 I 0.284 0.284 0.568 1
I3 I 0.284 0.716 0.000 1
I4 I 0.716 0.284 0.000 1
I5 I 0.716 0.716 0.432 1
I6 I 0.781 0.781 0.000 1
```

# 8
# Ba3Tl4Pb4 (GGA-PBE, optimized geometry)
data_Ba3Tl4Pb4
_cell_length_a 10.211
_cell_length_b 10.211
_cell_length_c 10.211
_cell_angle_alpha 150.08
_cell_angle_beta 129.61
_cell_angle_gamma 59.72
_symmetry_space_group_name_H-M 'P 1'
_symmetry_Int_Tables_number 1
loop_
_symmetry_equiv_pos_as_xyz
'x,y,z'
loop_
_atom_site_label
_atom_site_type_symbol
_atom_site_fract_x
_atom_site_fract_y
_atom_site_fract_z
_atom_site_occupancy
Ba1 Ba 0.000 0.000 0.000 1
Ba2 Ba 0.369 0.869 0.500 1
Ba3 Ba 0.631 0.131 0.500 1
Tl1 Tl 0.222 0.222 0.000 1
Tl2 Tl 0.322 0.500 0.822 1
Tl3 Tl 0.678 0.500 0.178 1
Tl4 Tl 0.778 0.778 0.000 1
Pb1 Pb 0.029 0.338 0.692 1
Pb2 Pb 0.354 0.662 0.692 1
Pb3 Pb 0.646 0.338 0.308 1
Pb4 Pb 0.971 0.662 0.308 1
# * formation energy: -3.316 eV per formula unit
# * ΔE to the lowest computed polymorph: 66 meV per atom

Per-record uncorrected energy, eV per atom: -2.254; -4.205; -5.748; -3.158; -6.098; -7.435; -3.026; -3.035
Per-record V, Å³/cell: 139.6; 354.1; 117.2; 124.7; 24.2; 158.1; 395.0; 405.9